# 1
# AcZn4Pt4 | Alexandria via LeMat-Bulk | PBE-GGA | relaxed
data_AcZn4Pt4
_chemical_formula_sum 'Ac2 Zn8 Pt8'
_space_group_name_H-M_alt 'P 1'
_space_group_IT_number 1
_space_group_name_Hall 'P 1'
_cell_length_a 6.0390
_cell_length_b 6.0390
_cell_length_c 9.0017
_cell_angle_alpha 90.00
_cell_angle_beta 90.00
_cell_angle_gamma 90.00
loop_
_atom_site_label
_atom_site_type_symbol
_atom_site_fract_x
_atom_site_fract_y
_atom_site_fract_z
_atom_site_occupancy
Zn1 Zn 0.2241 0.5000 0.9076 1
Zn2 Zn 0.7241 0.0000 0.5924 1
Zn3 Zn 0.5000 0.7759 0.0924 1
Zn4 Zn 0.7759 0.5000 0.9076 1
Zn5 Zn 0.2759 0.0000 0.5924 1
Zn6 Zn 0.5000 0.2241 0.0924 1
Zn7 Zn 0.0000 0.7241 0.4076 1
Zn8 Zn 0.0000 0.2759 0.4076 1
Pt1 Pt 0.2221 0.5000 0.1986 1
Pt2 Pt 0.5000 0.7779 0.8014 1
Pt3 Pt 0.7221 0.0000 0.3014 1
Pt4 Pt 0.0000 0.7221 0.6986 1
Pt5 Pt 0.2779 0.0000 0.3014 1
Pt6 Pt 0.5000 0.2221 0.8014 1
Pt7 Pt 0.7779 0.5000 0.1986 1
Pt8 Pt 0.0000 0.2779 0.6986 1
Ac1 Ac 0.0000 0.0000 0.0000 1
Ac2 Ac 0.5000 0.5000 0.5000 1
# DFT formation energy = -0.604 eV per atom
# crystal system = tetragonal
# symmetry = P4_2/nmc

=====

# 2
# Cs2KCdGa | Alexandria via LeMat-Bulk | PBE-GGA | relaxed
data_Cs2KCdGa
_chemical_formula_sum 'Cs2 K1 Cd1 Ga1'
_space_group_name_H-M_alt 'P 1'
_space_group_IT_number 1
_space_group_name_Hall 'P 1'
_cell_length_a 7.7372
_cell_length_b 7.7372
_cell_length_c 5.0941
_cell_angle_alpha 90.00
_cell_angle_beta 90.00
_cell_angle_gamma 90.00
loop_
_atom_site_label
_atom_site_type_symbol
_atom_site_fract_x
_atom_site_fract_y
_atom_site_fract_z
_atom_site_occupancy
Cs1 Cs 0.0000 0.5000 0.0000 1
Cs2 Cs 0.5000 0.0000 0.0000 1
Ga1 Ga 0.0000 0.0000 0.5000 1
Cd1 Cd 0.0000 0.0000 0.0000 1
K1 K 0.5000 0.5000 0.5000 1
# distance to the lowest polymorph of the same formula = 14.4 meV/atom
# DFT formation energy = 0.123 eV per atom
# crystal system = tetragonal
# symmetry = P4/mmm

=====

# 3
# KHfF3 | Alexandria via LeMat-Bulk | PBE-GGA | relaxed
data_KHfF3
_chemical_formula_sum 'K1 Hf1 F3'
_space_group_name_H-M_alt 'P 1'
_space_group_IT_number 1
_space_group_name_Hall 'P 1'
_cell_length_a 4.5462
_cell_length_b 4.5462
_cell_length_c 4.5462
_cell_angle_alpha 90.00
_cell_angle_beta 90.00
_cell_angle_gamma 90.00
loop_
_atom_site_label
_atom_site_type_symbol
_atom_site_fract_x
_atom_site_fract_y
_atom_site_fract_z
_atom_site_occupancy
F1 F 0.0000 0.0000 0.5000 1
F2 F 0.5000 0.0000 0.0000 1
F3 F 0.0000 0.5000 0.0000 1
Hf1 Hf 0.5000 0.5000 0.5000 1
K1 K 0.0000 0.0000 0.0000 1
# uncorrected formation energy = -1073 meV per atom
# distance to the lowest polymorph of the same formula = 1345.8 meV/atom
# crystal system = cubic
# symmetry = Pm-3m

=====

# 4
# RbRhSCl2 | Alexandria via LeMat-Bulk | PBE-GGA | relaxed
data_RbRhSCl2
_chemical_formula_sum 'Rb1 Rh1 S1 Cl2'
_space_group_name_H-M_alt 'P 1'
_space_group_IT_number 1
_space_group_name_Hall 'P 1'
_cell_length_a 5.9516
_cell_length_b 5.9516
_cell_length_c 5.9416
_cell_angle_alpha 90.00
_cell_angle_beta 90.00
_cell_angle_gamma 90.00
loop_
_atom_site_label
_atom_site_type_symbol
_atom_site_fract_x
_atom_site_fract_y
_atom_site_fract_z
_atom_site_occupancy
Cl1 Cl 0.0000 0.5000 0.0000 1
Cl2 Cl 0.5000 0.0000 0.0000 1
S1 S 0.0000 0.0000 0.5000 1
Rh1 Rh 0.5000 0.5000 0.5000 1
Rb1 Rb 0.0000 0.0000 0.0000 1
# uncorrected formation energy = 903 meV per atom
# distance to the lowest polymorph of the same formula = 1683.4 meV/atom
# crystal system = tetragonal
# symmetry = P4/mmm

=====

# 5
# Rb2CdPt | Alexandria via LeMat-Bulk | PBE-GGA | relaxed
data_Rb2CdPt
_chemical_formula_sum 'Rb2 Cd1 Pt1'
_space_group_name_H-M_alt 'P 1'
_space_group_IT_number 1
_space_group_name_Hall 'P 1'
_cell_length_a 4.7510
_cell_length_b 4.7522
_cell_length_c 9.5405
_cell_angle_alpha 75.64
_cell_angle_beta 75.58
_cell_angle_gamma 60.01
loop_
_atom_site_label
_atom_site_type_symbol
_atom_site_fract_x
_atom_site_fract_y
_atom_site_fract_z
_atom_site_occupancy
Rb1 Rb 0.8877 0.6502 0.5744 1
Rb2 Rb 0.7175 0.4808 0.0842 1
Cd1 Cd 0.4693 0.2323 0.8292 1
Pt1 Pt 0.1358 0.8987 0.8297 1
# DFT formation energy = -0.131 eV per atom
# crystal system = monoclinic
# symmetry = Cm

=====

# 6
# Ta2BeRe | Alexandria via LeMat-Bulk | PBE-GGA | relaxed
data_Ta2BeRe
_chemical_formula_sum 'Ta4 Be2 Re2'
_space_group_name_H-M_alt 'P 1'
_space_group_IT_number 1
_space_group_name_Hall 'P 1'
_cell_length_a 7.0263
_cell_length_b 7.0263
_cell_length_c 5.5997
_cell_angle_alpha 51.14
_cell_angle_beta 51.14
_cell_angle_gamma 90.00
loop_
_atom_site_label
_atom_site_type_symbol
_atom_site_fract_x
_atom_site_fract_y
_atom_site_fract_z
_atom_site_occupancy
Be1 Be 0.2500 0.7500 0.5000 1
Be2 Be 0.5000 0.5000 0.0000 1
Re1 Re 0.7500 0.2500 0.5000 1
Re2 Re 0.0000 0.0000 0.0000 1
Ta1 Ta 0.8750 0.8493 0.7500 1
Ta2 Ta 0.3750 0.4007 0.7500 1
Ta3 Ta 0.5993 0.1250 0.2500 1
Ta4 Ta 0.1507 0.6250 0.2500 1
# distance to the lowest polymorph of the same formula = 785.8 meV/atom
# DFT formation energy = 0.654 eV per atom
# crystal system = tetragonal
# symmetry = I-42d

=====

# 7
# HoGaSi2Ir5 | Alexandria via LeMat-Bulk | PBE-GGA | relaxed
data_HoGaSi2Ir5
_chemical_formula_sum 'Ho1 Ga1 Si2 Ir5'
_space_group_name_H-M_alt 'P 1'
_space_group_IT_number 1
_space_group_name_Hall 'P 1'
_cell_length_a 4.0146
_cell_length_b 4.0146
_cell_length_c 10.2294
_cell_angle_alpha 90.00
_cell_angle_beta 90.00
_cell_angle_gamma 90.00
loop_
_atom_site_label
_atom_site_type_symbol
_atom_site_fract_x
_atom_site_fract_y
_atom_site_fract_z
_atom_site_occupancy
Si1 Si 0.5000 0.5000 0.7269 1
Si2 Si 0.5000 0.5000 0.2731 1
Ga1 Ga 0.0000 0.0000 0.0000 1
Ir1 Ir 0.0000 0.5000 0.1530 1
Ir2 Ir 0.5000 0.0000 0.8470 1
Ir3 Ir 0.5000 0.5000 0.5000 1
Ir4 Ir 0.0000 0.5000 0.8470 1
Ir5 Ir 0.5000 0.0000 0.1530 1
Ho1 Ho 0.0000 0.0000 0.5000 1
# uncorrected formation energy = -369 meV per atom
# crystal system = tetragonal
# symmetry = P4/mmm

=====

# 8
# PaTlI6 | Alexandria via LeMat-Bulk | PBE-GGA | relaxed
data_PaTlI6
_chemical_formula_sum 'Pa1 Tl1 I6'
_space_group_name_H-M_alt 'P 1'
_space_group_IT_number 1
_space_group_name_Hall 'P 1'
_cell_length_a 7.9880
_cell_length_b 7.9895
_cell_length_c 8.6036
_cell_angle_alpha 62.29
_cell_angle_beta 62.26
_cell_angle_gamma 59.92
loop_
_atom_site_label
_atom_site_type_symbol
_atom_site_fract_x
_atom_site_fract_y
_atom_site_fract_z
_atom_site_occupancy
I1 I 0.9514 0.6054 0.2330 1
I2 I 0.6051 0.2106 0.2331 1
I3 I 0.7895 0.0488 0.7674 1
I4 I 0.2105 0.9512 0.2326 1
I5 I 0.0486 0.3946 0.7670 1
I6 I 0.3949 0.7894 0.7669 1
Pa1 Pa 0.0000 0.0000 0.0000 1
Tl1 Tl 0.5000 0.5000 0.5000 1
# uncorrected formation energy = -871 meV per atom
# distance to the lowest polymorph of the same formula = 5.3 meV/atom
# crystal system = triclinic
# symmetry = P-1